Computed, not measured: a crystal of InIr2W relaxed with PBEsol at the SCAN level of DFT.

Results
M_tot, μB per formula unit: 0.00
Formation energy, eV/atom: 0.418

a = 6.3118 Å, b = 6.3118 Å, c = 6.3118 Å
α = 90.00°, β = 90.00°, γ = 90.00°
With the nearest neighbours (Å) after each atom.
Fractional positions:
In  0.0000  0.0000  0.0000  4 W 2.73, 4 Ir 2.73
In  0.0000  0.5000  0.5000  4 W 2.73, 4 Ir 2.73
In  0.5000  0.0000  0.5000  4 W 2.73, 4 Ir 2.73
In  0.5000  0.5000  0.0000  4 W 2.73, 4 Ir 2.73
Ir  0.0000  0.0000  0.5000  4 W 2.73, 4 Ir 2.73
Ir  0.0000  0.5000  0.0000  4 W 2.73, 4 Ir 2.73
Ir  0.2500  0.2500  0.7500  4 In 2.73, 4 Ir 2.73
Ir  0.2500  0.7500  0.2500  4 In 2.73, 4 Ir 2.73
Ir  0.5000  0.0000  0.0000  4 W 2.73, 4 Ir 2.73
Ir  0.5000  0.5000  0.5000  4 W 2.73, 4 Ir 2.73
Ir  0.7500  0.2500  0.2500  4 In 2.73, 4 Ir 2.73
Ir  0.7500  0.7500  0.7500  4 In 2.73, 4 Ir 2.73
W  0.2500  0.2500  0.2500  4 In 2.73, 4 Ir 2.73
W  0.2500  0.7500  0.7500  4 In 2.73, 4 Ir 2.73
W  0.7500  0.2500  0.7500  4 In 2.73, 4 Ir 2.73
W  0.7500  0.7500  0.2500  4 In 2.73, 4 Ir 2.73

Computed, not measured: a crystal of Hf6Be15Pd8 relaxed with PBEsol at the SCAN level of DFT.

Results
M_tot, μB per formula unit: 0.00
Formation energy, eV/atom: -0.571

a = 7.9703 Å, b = 7.9703 Å, c = 7.9703 Å
α = 60.00°, β = 60.00°, γ = 60.00°
With the nearest neighbours (Å) after each atom.
Fractional positions:
Hf  0.1984  0.1984  0.8016  8 Be 2.78-2.88, 4 Pd 2.82
Hf  0.1984  0.8016  0.1984  8 Be 2.78-2.88, 4 Pd 2.82
Hf  0.1984  0.8016  0.8016  8 Be 2.78-2.88, 4 Pd 2.82
Hf  0.8016  0.1984  0.1984  8 Be 2.78-2.88, 4 Pd 2.82
Hf  0.8016  0.1984  0.8016  8 Be 2.78-2.88, 4 Pd 2.82
Hf  0.8016  0.8016  0.1984  8 Be 2.78-2.88, 4 Pd 2.82
Be  0.0000  0.0000  0.5000  4 Be 2.31, 4 Pd 2.44
Be  0.0000  0.5000  0.0000  4 Be 2.31, 4 Pd 2.44
Be  0.0000  0.5000  0.5000  4 Be 2.31, 4 Pd 2.44
Be  0.1738  0.1738  0.1738  6 Be 2.31-2.43, 3 Pd 2.40
Be  0.1738  0.1738  0.4785  6 Be 2.31-2.43, 3 Pd 2.40
Be  0.1738  0.4785  0.1738  6 Be 2.31-2.43, 3 Pd 2.40
Be  0.4785  0.1738  0.1738  6 Be 2.31-2.43, 3 Pd 2.40
Be  0.5000  0.0000  0.0000  4 Be 2.31, 4 Pd 2.44
Be  0.5000  0.0000  0.5000  4 Be 2.31, 4 Pd 2.44
Be  0.5000  0.5000  0.0000  4 Be 2.31, 4 Pd 2.44
Be  0.5000  0.5000  0.5000  8 Pd 2.44
Be  0.5215  0.8262  0.8262  6 Be 2.31-2.43, 3 Pd 2.40
Be  0.8262  0.5215  0.8262  6 Be 2.31-2.43, 3 Pd 2.40
Be  0.8262  0.8262  0.5215  6 Be 2.31-2.43, 3 Pd 2.40
Be  0.8262  0.8262  0.8262  6 Be 2.31-2.43, 3 Pd 2.40
Pd  0.1256  0.6248  0.6248  7 Be 2.40-2.44
Pd  0.3752  0.3752  0.3752  7 Be 2.40-2.44
Pd  0.3752  0.3752  0.8744  7 Be 2.40-2.44
Pd  0.3752  0.8744  0.3752  7 Be 2.40-2.44
Pd  0.6248  0.1256  0.6248  7 Be 2.40-2.44
Pd  0.6248  0.6248  0.1256  7 Be 2.40-2.44
Pd  0.6248  0.6248  0.6248  7 Be 2.40-2.44
Pd  0.8744  0.3752  0.3752  7 Be 2.40-2.44

Computed, not measured: a crystal of BTe2SN relaxed with PBEsol at the SCAN level of DFT.

Results
M_tot, μB per formula unit: 0.00
E_form (uncorrected), eV/atom: 0.43
Distance to the lowest polymorph of the same formula, kJ/mol of atoms: 0.0

a = 5.9288 Å, b = 5.9288 Å, c = 2.7359 Å
α = 90.00°, β = 90.00°, γ = 90.00°
With the nearest neighbours (Å) after each atom.
Fractional positions:
B  0.0000  0.0000  0.0000  2 N 1.37
Te  0.0000  0.5000  0.0000  2 Te 2.74, 2 B 2.96
Te  0.5000  0.0000  0.0000  2 Te 2.74, 2 B 2.96
S  0.5000  0.5000  0.5000  2 S 2.74
N  0.0000  0.0000  0.5000  2 B 1.37

Computed, not measured: a crystal of KCo2Cu relaxed with PBEsol at the SCAN level of DFT.

Results
M_tot, μB per formula unit: 3.41
Distance to the lowest polymorph of the same formula, kJ/mol of atoms: 4.9
Formation energy, eV/atom: 0.632

a = 7.8266 Å, b = 2.5707 Å, c = 6.8524 Å
α = 90.00°, β = 94.17°, γ = 90.00°
With the nearest neighbours (Å) after each atom.
Fractional positions:
K  0.0000  0.0000  0.0000  2 K 2.57
K  0.5000  0.5000  0.0000  2 K 2.57
Co  0.0046  0.5000  0.4727  3 Co 2.27-2.34, 3 Cu 2.46-2.51
Co  0.2692  0.5000  0.3572  3 Co 2.27-2.34, 2 Cu 2.41
Co  0.5046  0.0000  0.4727  3 Co 2.27-2.34, 3 Cu 2.46-2.51
Co  0.7692  0.0000  0.3572  3 Co 2.27-2.34, 2 Cu 2.41
Cu  0.2343  0.0000  0.6498  5 Co 2.41-2.51, 2 Cu 2.57
Cu  0.7343  0.5000  0.6498  5 Co 2.41-2.51, 2 Cu 2.57

Computed, not measured: a crystal of FeTe2AuI relaxed with PBEsol at the SCAN level of DFT.

Results
M_tot, μB per formula unit: 2.19
E_form (uncorrected), eV/atom: 0.49

a = 4.9946 Å, b = 4.9946 Å, c = 4.9366 Å
α = 90.00°, β = 90.00°, γ = 90.00°
With the nearest neighbours (Å) after each atom.
Fractional positions:
Fe  0.0000  0.0000  0.0000  2 Au 2.47, 4 Te 2.50
Te  0.0000  0.5000  0.0000  2 Fe 2.50
Te  0.5000  0.0000  0.0000  2 Fe 2.50
Au  0.0000  0.0000  0.5000  2 Fe 2.47
I  0.5000  0.5000  0.5000  8 Te 3.51, 4 Au 3.53

Computed, not measured: a crystal of FeRe2Au relaxed with PBEsol at the SCAN level of DFT.

Results
M_tot, μB per formula unit: 2.72
Distance to the lowest polymorph of the same formula, kJ/mol of atoms: 0.0
Formation energy, eV/atom: 0.230

a = 3.1665 Å, b = 3.1665 Å, c = 5.7616 Å
α = 90.00°, β = 90.00°, γ = 90.00°
With the nearest neighbours (Å) after each atom.
Fractional positions:
Fe  0.0000  0.0000  0.0000  5 Re 2.61-2.67, 4 Au 2.64
Re  0.0000  0.0000  0.4634  4 Re 2.61, 1 Fe 2.67, 4 Au 2.81
Re  0.5000  0.5000  0.2322  4 Re 2.61, 4 Fe 2.61, 1 Au 2.73
Au  0.5000  0.5000  0.7578  4 Fe 2.64, 5 Re 2.73-2.81

Here are the calculated final energy numbers, same order: -974.40; -720.09; -98.72; -111.22; -196.07; -228.56 (eV/cell).